Record 1
Density functional theory data (GGA-PBE) for a relaxed NaTlAgSn crystal.

Calculated values
Space-group type: I4mm (107)
Energy above the most stable polymorph in this dataset: 0.039 eV per atom
ΔE_f: 0.09 eV per formula unit

Unit cell a=3.236 b=3.236 c=10.172 alpha=99.15 beta=99.15 gamma=90.00
Sites, in units of the cell vectors:
1 Sn 0.931 0.931 0.862
2 Na 0.558 0.558 0.115
3 Ag 0.333 0.333 0.667
4 Tl 0.190 0.190 0.380


Record 2
Density functional theory data (GGA-PBE) for a relaxed Na2TlAgSn crystal.

Calculated values
Space-group type: P4/mmm (123)
ΔE_f: 0.28 eV per formula unit

Unit cell a=5.579 b=5.579 c=5.140 alpha=90.00 beta=90.00 gamma=90.00
Sites, in units of the cell vectors:
1 Sn 0.000 0.000 0.500
2 Tl 0.500 0.500 0.500
3 Na 0.000 0.500 0.000
4 Na 0.500 0.000 0.000
5 Ag 0.000 0.000 0.000


Record 3
Density functional theory data (GGA-PBE) for a relaxed NaTmAgSn crystal.

Calculated values
Space-group type: F-43m (216)
ΔE_f: -1.19 eV per formula unit

Unit cell a=5.128 b=5.128 c=5.128 alpha=60.00 beta=60.00 gamma=60.00
Sites, in units of the cell vectors:
1 Ag 0.500 0.500 0.500
2 Sn 0.000 0.000 0.000
3 Na 0.750 0.750 0.750
4 Tm 0.250 0.250 0.250


Record 4
Density functional theory data (GGA-PBE) for a relaxed NaVAg2Sn crystal.

Calculated values
Space-group type: P4/mmm (123)
ΔE_f: 6.44 eV per formula unit

Unit cell a=4.636 b=5.162 c=4.636 alpha=90.00 beta=90.00 gamma=90.00
Sites, in units of the cell vectors:
1 V 0.500 0.500 0.500
2 Na 0.000 0.000 0.000
3 Ag 0.500 0.000 0.000
4 Ag 0.000 0.000 0.500
5 Sn 0.000 0.500 0.000


Record 5
Density functional theory data (GGA-PBE) for a relaxed NaYAgSn crystal.

Calculated values
Space-group type: F-43m (216)
ΔE_f: -1.33 eV per formula unit

Unit cell a=5.174 b=5.174 c=5.174 alpha=60.00 beta=60.00 gamma=60.00
Sites, in units of the cell vectors:
1 Sn 0.000 0.000 0.000
2 Ag 0.500 0.500 0.500
3 Na 0.250 0.250 0.250
4 Y 0.750 0.750 0.750


Record 6
Density functional theory data (GGA-PBE) for a relaxed Na2ZnAg6Sn crystal.

Calculated values
Space-group type: Fm-3m (225)
ΔE_f: 2.28 eV per formula unit

Unit cell a=7.249 b=7.249 c=7.249 alpha=60.00 beta=60.00 gamma=90.00
Sites, in units of the cell vectors:
1 Ag 0.260 0.740 0.000
2 Ag 0.740 0.740 0.520
3 Ag 0.740 0.260 0.000
4 Ag 0.740 0.740 0.000
5 Ag 0.260 0.260 0.000
6 Ag 0.260 0.260 0.480
7 Na 0.250 0.750 0.500
8 Na 0.750 0.250 0.500
9 Zn 0.500 0.500 0.000
10 Sn 0.000 0.000 0.000


Record 7
Density functional theory data (GGA-PBE) for a relaxed Na2ZnAg3Sn4 crystal.

Calculated values
Space-group type: P-4m2 (115)
ΔE_f: -0.44 eV per formula unit

Unit cell a=4.465 b=4.465 c=12.543 alpha=90.00 beta=90.00 gamma=90.00
Sites, in units of the cell vectors:
1 Sn 0.000 0.000 0.000
2 Sn 0.500 0.000 0.634
3 Sn 0.000 0.500 0.366
4 Sn 0.500 0.500 0.000
5 Ag 0.000 0.000 0.500
6 Ag 0.500 0.000 0.851
7 Ag 0.000 0.500 0.149
8 Na 0.000 0.500 0.746
9 Na 0.500 0.000 0.254
10 Zn 0.500 0.500 0.500


Record 8
Density functional theory data (GGA-PBE) for a relaxed Na2ZnAgSn2 crystal.

Calculated values
Space-group type: Ibam (72)
ΔE_f: -0.52 eV per formula unit

Unit cell a=6.406 b=6.547 c=8.580 alpha=112.43 beta=111.92 gamma=90.00
Sites, in units of the cell vectors:
1 Ag 0.000 0.750 0.000
2 Ag 0.000 0.250 0.000
3 Zn 0.500 0.750 0.000
4 Zn 0.500 0.250 0.000
5 Sn 0.373 0.613 0.225
6 Sn 0.148 0.887 0.775
7 Sn 0.852 0.113 0.225
8 Sn 0.627 0.387 0.775
9 Na 0.405 0.164 0.328
10 Na 0.923 0.664 0.328
11 Na 0.077 0.336 0.672
12 Na 0.595 0.836 0.672


Record 9
Density functional theory data (GGA-PBE) for a relaxed Na2Zn3AgSn4 crystal.

Calculated values
Space-group type: P-4m2 (115)
ΔE_f: -0.56 eV per formula unit

Unit cell a=4.470 b=4.470 c=12.187 alpha=90.00 beta=90.00 gamma=90.00
Sites, in units of the cell vectors:
1 Na 0.000 0.500 0.740
2 Na 0.500 0.000 0.260
3 Sn 0.000 0.500 0.361
4 Sn 0.000 0.000 0.000
5 Sn 0.500 0.000 0.639
6 Sn 0.500 0.500 0.000
7 Zn 0.500 0.000 0.855
8 Zn 0.000 0.000 0.500
9 Zn 0.000 0.500 0.145
10 Ag 0.500 0.500 0.500


Record 10
Density functional theory data (GGA-PBE) for a relaxed Na2Zn4AgSn3 crystal.

Calculated values
Space-group type: P-4m2 (115)
ΔE_f: -0.55 eV per formula unit

Unit cell a=4.432 b=4.432 c=11.760 alpha=90.00 beta=90.00 gamma=90.00
Sites, in units of the cell vectors:
1 Ag 0.500 0.500 0.500
2 Zn 0.500 0.500 0.000
3 Zn 0.500 0.000 0.637
4 Zn 0.000 0.500 0.363
5 Zn 0.000 0.000 0.000
6 Sn 0.000 0.000 0.500
7 Sn 0.500 0.000 0.861
8 Sn 0.000 0.500 0.139
9 Na 0.500 0.000 0.256
10 Na 0.000 0.500 0.744


Record 11
Density functional theory data (GGA-PBE) for a relaxed NaSrAg crystal.

Calculated values
Space-group type: I4mm (107)
Energy above the most stable polymorph in this dataset: 0.109 eV per atom
ΔE_f: -0.23 eV per formula unit

Unit cell a=4.002 b=4.002 c=6.593 alpha=107.67 beta=107.67 gamma=90.00
Sites, in units of the cell vectors:
1 Ag 0.674 0.674 0.349
2 Sr 0.020 0.020 0.041
3 Na 0.305 0.305 0.610


Record 12
Density functional theory data (GGA-PBE) for a relaxed Na2Sr2Ag crystal.

Calculated values
Space-group type: I4/mmm (139)
Energy above the most stable polymorph in this dataset: 0.000 eV per atom
ΔE_f: 0.06 eV per formula unit

Unit cell a=4.218 b=4.218 c=10.998 alpha=78.94 beta=78.94 gamma=90.00
Sites, in units of the cell vectors:
1 Na 0.750 0.250 0.500
2 Na 0.250 0.750 0.500
3 Ag 0.000 0.000 0.000
4 Sr 0.413 0.413 0.175
5 Sr 0.587 0.587 0.825


Record 13
Density functional theory data (GGA-PBE) for a relaxed NaSr3Ag2 crystal.

Calculated values
Space-group type: P4/mmm (123)
ΔE_f: -1.07 eV per formula unit

Unit cell a=3.947 b=3.947 c=13.674 alpha=90.00 beta=90.00 gamma=90.00
Sites, in units of the cell vectors:
1 Na 0.500 0.500 0.500
2 Sr 0.000 0.000 0.714
3 Sr 0.000 0.000 0.000
4 Sr 0.000 0.000 0.286
5 Ag 0.500 0.500 0.853
6 Ag 0.500 0.500 0.147


Record 14
Density functional theory data (GGA-PBE) for a relaxed Na2Sr5Ag2 crystal.

Calculated values
Space-group type: Cmce (64)
ΔE_f: -1.08 eV per formula unit

Unit cell a=8.633 b=8.642 c=10.857 alpha=90.00 beta=66.57 gamma=90.00
Sites, in units of the cell vectors:
1 Sr 0.938 0.324 0.773
2 Sr 0.289 0.676 0.773
3 Sr 0.211 0.176 0.227
4 Sr 0.500 0.500 0.000
5 Sr 0.062 0.676 0.227
6 Sr 0.789 0.824 0.773
7 Sr 0.000 0.000 0.000
8 Sr 0.438 0.176 0.773
9 Sr 0.562 0.824 0.227
10 Sr 0.711 0.324 0.227
11 Na 0.774 0.000 0.452
12 Na 0.226 0.000 0.548
13 Na 0.274 0.500 0.452
14 Na 0.726 0.500 0.548
15 Ag 0.621 0.120 0.000
16 Ag 0.121 0.380 0.000
17 Ag 0.379 0.880 0.000
18 Ag 0.879 0.620 0.000


Record 15
Density functional theory data (GGA-PBE) for a relaxed Na2Sr2Ag crystal.

Calculated values
Space-group type: P4/mbm (127)
Energy above the most stable polymorph in this dataset: 0.086 eV per atom
ΔE_f: 0.49 eV per formula unit

Unit cell a=8.515 b=8.515 c=6.116 alpha=90.00 beta=90.00 gamma=90.00
Sites, in units of the cell vectors:
1 Na 0.354 0.146 0.500
2 Na 0.854 0.354 0.500
3 Na 0.146 0.646 0.500
4 Na 0.646 0.854 0.500
5 Ag 0.000 0.000 0.000
6 Ag 0.500 0.500 0.000
7 Sr 0.169 0.331 0.000
8 Sr 0.669 0.169 0.000
9 Sr 0.331 0.831 0.000
10 Sr 0.831 0.669 0.000


Record 16
Density functional theory data (GGA-PBE) for a relaxed NaSr5Ag2 crystal.

Calculated values
Space-group type: I4/mcm (140)
ΔE_f: -1.33 eV per formula unit

Unit cell a=8.808 b=8.808 c=10.374 alpha=115.12 beta=115.12 gamma=90.00
Sites, in units of the cell vectors:
1 Sr 0.500 0.500 0.000
2 Sr 0.528 0.702 0.730
3 Sr 0.000 0.000 0.000
4 Sr 0.202 0.028 0.730
5 Sr 0.702 0.202 0.730
6 Sr 0.472 0.298 0.270
7 Sr 0.798 0.972 0.270
8 Sr 0.028 0.528 0.730
9 Sr 0.972 0.472 0.270
10 Sr 0.298 0.798 0.270
11 Ag 0.626 0.126 0.000
12 Ag 0.374 0.874 0.000
13 Ag 0.874 0.626 0.000
14 Ag 0.126 0.374 0.000
15 Na 0.250 0.250 0.500
16 Na 0.750 0.750 0.500


Record 17
Density functional theory data (GGA-PBE) for a relaxed Na2SrAg2 crystal.

Calculated values
Space-group type: P4/mbm (127)
Energy above the most stable polymorph in this dataset: 0.111 eV per atom
ΔE_f: -0.09 eV per formula unit

Unit cell a=8.742 b=8.742 c=3.559 alpha=90.00 beta=90.00 gamma=90.00
Sites, in units of the cell vectors:
1 Na 0.118 0.382 0.000
2 Na 0.382 0.882 0.000
3 Na 0.882 0.618 0.000
4 Na 0.618 0.118 0.000
5 Ag 0.819 0.319 0.500
6 Ag 0.319 0.181 0.500
7 Ag 0.681 0.819 0.500
8 Ag 0.181 0.681 0.500
9 Sr 0.500 0.500 0.000
10 Sr 0.000 0.000 0.000


Record 18
Density functional theory data (GGA-PBE) for a relaxed NaSr4Ag crystal.

Calculated values
Space-group type: C2/c (15)
Energy above the most stable polymorph in this dataset: 0.000 eV per atom
ΔE_f: -0.47 eV per formula unit

Unit cell a=7.221 b=10.600 c=9.127 alpha=115.81 beta=100.50 gamma=111.56
Sites, in units of the cell vectors:
1 Ag 0.251 0.001 0.002
2 Ag 0.749 0.999 0.998
3 Sr 0.931 0.807 0.172
4 Sr 0.777 0.724 0.658
5 Sr 0.619 0.066 0.342
6 Sr 0.381 0.934 0.658
7 Sr 0.740 0.365 0.172
8 Sr 0.069 0.193 0.828
9 Sr 0.260 0.635 0.828
10 Sr 0.223 0.276 0.342
11 Na 0.630 0.380 0.760
12 Na 0.370 0.620 0.240


Record 19
Density functional theory data (GGA-PBE) for a relaxed Na3SrAg crystal.

Calculated values
Space-group type: Pm-3m (221)
Energy above the most stable polymorph in this dataset: 0.000 eV per atom
ΔE_f: 0.50 eV per formula unit

Unit cell a=5.749 b=5.749 c=5.749 alpha=90.00 beta=90.00 gamma=90.00
Sites, in units of the cell vectors:
1 Na 0.000 0.500 0.000
2 Na 0.000 0.000 0.500
3 Na 0.500 0.000 0.000
4 Ag 0.000 0.000 0.000
5 Sr 0.500 0.500 0.500


Record 20
Density functional theory data (GGA-PBE) for a relaxed NaSrAg crystal.

Calculated values
Space-group type: Cmcm (63)
Energy above the most stable polymorph in this dataset: 0.000 eV per atom
ΔE_f: -0.55 eV per formula unit

Unit cell a=4.724 b=4.297 c=10.373 alpha=101.96 beta=90.00 gamma=90.00
Sites, in units of the cell vectors:
1 Ag 0.250 0.458 0.916
2 Ag 0.750 0.542 0.084
3 Na 0.750 0.705 0.410
4 Na 0.250 0.295 0.590
5 Sr 0.750 0.913 0.825
6 Sr 0.250 0.087 0.175


Record 21
Density functional theory data (GGA-PBE) for a relaxed Na2Sr2Ag crystal.

Calculated values
Space-group type: P4/mbm (127)
Energy above the most stable polymorph in this dataset: 0.052 eV per atom
ΔE_f: 0.32 eV per formula unit

Unit cell a=8.059 b=8.059 c=5.760 alpha=90.00 beta=90.00 gamma=90.00
Sites, in units of the cell vectors:
1 Sr 0.683 0.817 0.500
2 Sr 0.183 0.683 0.500
3 Sr 0.317 0.183 0.500
4 Sr 0.817 0.317 0.500
5 Ag 0.500 0.500 0.000
6 Ag 0.000 0.000 0.000
7 Na 0.361 0.861 0.000
8 Na 0.639 0.139 0.000
9 Na 0.139 0.361 0.000
10 Na 0.861 0.639 0.000


Record 22
Density functional theory data (GGA-PBE) for a relaxed Na3SrAg crystal.

Calculated values
Space-group type: Pm-3m (221)
Energy above the most stable polymorph in this dataset: 0.731 eV per atom
ΔE_f: 4.15 eV per formula unit

Unit cell a=6.818 b=6.818 c=6.818 alpha=90.00 beta=90.00 gamma=90.00
Sites, in units of the cell vectors:
1 Na 0.500 0.000 0.000
2 Na 0.000 0.000 0.500
3 Na 0.000 0.500 0.000
4 Sr 0.000 0.000 0.000
5 Ag 0.500 0.500 0.500


Record 23
Density functional theory data (GGA-PBE) for a relaxed NaSr6Ag2 crystal.

Calculated values
Space-group type: Immm (71)
ΔE_f: -1.37 eV per formula unit

Unit cell a=9.945 b=9.945 c=9.945 alpha=103.63 beta=111.28 gamma=113.66
Sites, in units of the cell vectors:
1 Ag 0.668 0.000 0.668
2 Ag 0.332 0.000 0.332
3 Ag 0.500 0.380 0.880
4 Ag 0.500 0.620 0.120
5 Sr 0.688 0.359 0.671
6 Sr 0.312 0.641 0.329
7 Sr 0.202 0.241 0.443
8 Sr 0.798 0.759 0.557
9 Sr 0.688 0.017 0.329
10 Sr 0.312 0.983 0.671
11 Sr 0.798 0.241 0.039
12 Sr 0.202 0.759 0.961
13 Sr 0.106 0.289 0.817
14 Sr 0.472 0.289 0.183
15 Sr 0.528 0.711 0.817
16 Sr 0.894 0.711 0.183
17 Na 0.000 0.500 0.500
18 Na 0.000 0.000 0.000


Record 24
Density functional theory data (GGA-PBE) for a relaxed NaSr4Ag3 crystal.

Calculated values
Space-group type: Pmm2 (25)
ΔE_f: -1.59 eV per formula unit

Unit cell a=4.586 b=4.859 c=12.442 alpha=90.00 beta=90.00 gamma=90.00
Sites, in units of the cell vectors:
1 Ag 0.000 0.500 0.572
2 Ag 0.000 0.000 0.435
3 Ag 0.500 0.000 0.919
4 Sr 0.500 0.000 0.638
5 Sr 0.000 0.000 0.154
6 Sr 0.000 0.500 0.844
7 Sr 0.500 0.500 0.375
8 Na 0.500 0.500 0.064


Number 1: magnetic moment 0.0 μB per cell. Number 2: magnetic moment 0.0 μB per cell. Number 3: magnetic moment 0.0 μB per cell. Number 4: magnetic moment 0.0 μB per cell. Number 5: magnetic moment 0.0 μB per cell. Number 6: magnetic moment 0.0 μB per cell. Number 7: magnetic moment 0.0 μB per cell. Number 8: magnetic moment 0.0 μB per cell. Number 9: magnetic moment 0.0 μB per cell. Number 10: magnetic moment 0.0 μB per cell. Number 11: magnetic moment 0.0 μB per cell. Number 12: magnetic moment 0.0 μB per cell. Number 13: magnetic moment 0.0 μB per cell. Number 14: magnetic moment 0.0 μB per cell. Number 15: magnetic moment 0.0 μB per cell. Number 16: magnetic moment 0.0 μB per cell. Number 17: magnetic moment 0.0 μB per cell. Number 18: magnetic moment 0.0 μB per cell. Number 19: magnetic moment 0.0 μB per cell. Number 20: magnetic moment 0.0 μB per cell. Number 21: magnetic moment 0.0 μB per cell. Number 22: magnetic moment 0.0 μB per cell. Number 23: magnetic moment 0.0 μB per cell. Number 24: magnetic moment 0.0 μB per cell.